! Y2ZrRu | Alexandria via LeMat-Bulk | GGA-PBEsol | relaxed; values from VASP
&SYSTEM
  ibrav = 0, nat = 4, ntyp = 3
/
ATOMIC_SPECIES
Y 88.91 Y.upf
Ru 101.07 Ru.upf
Zr 91.22 Zr.upf
ATOMIC_POSITIONS angstrom
Y 0.0000 0.0000 2.3447
Y 0.0000 0.0000 5.6328
Ru 1.6793 1.6793 3.9888
Zr 1.6793 1.6793 0.0000
CELL_PARAMETERS angstrom
3.3586 0.0000 0.0000
0.0000 3.3586 0.0000
0.0000 0.0000 7.9776
! space-group type: P4/mmm
! energy of formation: -0.0627 eV per atom
! energy above the most stable polymorph in this dataset: 152 meV per atom

---

! KHfSe3 | Alexandria via LeMat-Bulk | GGA-PBEsol | relaxed; values from VASP
&SYSTEM
  ibrav = 0, nat = 5, ntyp = 3
/
ATOMIC_SPECIES
Se 78.96 Se.upf
Hf 178.49 Hf.upf
K 39.10 K.upf
ATOMIC_POSITIONS angstrom
Se -0.6135 -2.3280 0.9492
Se 2.1373 -0.9974 -1.0649
Se 1.3238 0.5315 2.1591
Hf 0.0000 0.0000 0.0000
K 2.8476 -2.7939 2.0435
CELL_PARAMETERS angstrom
-1.2270 -4.6559 1.8984
4.2745 -1.9949 -2.1297
2.6476 1.0630 4.3182
! space-group type: Pm-3m
! formation energy from raw total energies: -1.07 eV per atom

---

! Sc2TlCl | Alexandria via LeMat-Bulk | GGA-PBEsol | relaxed; values from VASP
&SYSTEM
  ibrav = 0, nat = 4, ntyp = 3
/
ATOMIC_SPECIES
Sc 44.96 Sc.upf
Tl 204.38 Tl.upf
Cl 35.45 Cl.upf
ATOMIC_POSITIONS angstrom
Sc 0.0000 0.0000 4.9522
Sc 1.7275 2.2455 2.0028
Tl 0.0000 0.0000 2.1472
Cl 1.7275 2.2455 4.9304
CELL_PARAMETERS angstrom
3.4551 0.0000 0.0000
0.0000 4.4910 0.0000
0.0000 0.0000 5.6130
! space-group type: Pmm2
! formation energy from raw total energies: -0.70 eV per atom
! energy above the most stable polymorph in this dataset: 0 meV per atom

---

! LiLaFe2 | Alexandria via LeMat-Bulk | GGA-PBEsol | relaxed; values from VASP
&SYSTEM
  ibrav = 0, nat = 4, ntyp = 3
/
ATOMIC_SPECIES
Fe 55.84 Fe.upf
Li 6.94 Li.upf
La 138.91 La.upf
ATOMIC_POSITIONS angstrom
Fe 0.1508 0.0000 0.0886
Fe 0.8848 2.0200 1.0752
Li 0.7697 2.0200 4.5273
La 2.2937 0.0000 2.6349
CELL_PARAMETERS angstrom
2.9875 0.0000 0.0244
0.0000 4.0400 0.0000
-1.2507 0.0000 5.5181
! space-group type: Pm
! energy of formation: 0.4282 eV per atom
! energy above the most stable polymorph in this dataset: 93 meV per atom

---

! YGeIr2Ru | Alexandria via LeMat-Bulk | GGA-PBEsol | relaxed; values from VASP
&SYSTEM
  ibrav = 0, nat = 5, ntyp = 4
/
ATOMIC_SPECIES
Ge 72.64 Ge.upf
Y 88.91 Y.upf
Ir 192.22 Ir.upf
Ru 101.07 Ru.upf
ATOMIC_POSITIONS angstrom
Ge -0.4451 -2.3814 0.6217
Y 0.0000 0.0000 0.0000
Ir -0.6205 -0.4780 -2.2753
Ir -2.2852 0.5592 0.5057
Ru -3.3508 -2.3003 -1.1479
CELL_PARAMETERS angstrom
-4.5704 1.1184 1.0114
-1.2410 -0.9561 -4.5506
-0.8903 -4.7628 1.2434
! space-group type: P4/mmm
! energy of formation: 2.3029 eV per atom

---

! Cu3Pt2 | Alexandria via LeMat-Bulk | GGA-PBEsol | relaxed; values from VASP
&SYSTEM
  ibrav = 0, nat = 10, ntyp = 2
/
ATOMIC_SPECIES
Cu 63.55 Cu.upf
Pt 195.08 Pt.upf
ATOMIC_POSITIONS angstrom
Cu 3.5511 -6.2276 -0.7862
Cu 2.5704 -4.0415 -0.1291
Cu 3.0761 -2.9280 2.1779
Cu 4.0568 -5.1141 1.5207
Cu 5.1441 -7.3713 0.8714
Cu 1.4831 -1.7843 0.5202
Pt -1.1464 -1.6625 1.1292
Pt 6.5380 -5.1155 0.9110
Pt 0.0892 -4.0401 0.4806
Pt 7.7736 -7.4931 0.2624
CELL_PARAMETERS angstrom
-0.8953 -1.0898 2.2896
-1.9815 -3.3582 -2.3733
9.5039 -4.7076 1.4753
! space-group type: P2_1/m
! energy of formation: -0.0578 eV per atom
! energy above the most stable polymorph in this dataset: 56 meV per atom

---

! KTa2Te | Alexandria via LeMat-Bulk | GGA-PBEsol | relaxed; values from VASP
&SYSTEM
  ibrav = 0, nat = 4, ntyp = 3
/
ATOMIC_SPECIES
Ta 180.95 Ta.upf
K 39.10 K.upf
Te 127.60 Te.upf
ATOMIC_POSITIONS angstrom
Ta -0.5390 -1.3337 1.5008
Ta 1.0521 -1.5111 -0.9651
K 2.0639 0.6147 1.2875
Te 2.5770 -2.2301 1.8232
CELL_PARAMETERS angstrom
-1.0780 -2.6675 3.0015
2.1042 -3.0221 -1.9301
4.1278 1.2294 2.5751
! space-group type: P4/mmm
! formation energy from raw total energies: 1.06 eV per atom

---

! RbYIn3 | Alexandria via LeMat-Bulk | GGA-PBEsol | relaxed; values from VASP
&SYSTEM
  ibrav = 0, nat = 5, ntyp = 3
/
ATOMIC_SPECIES
Y 88.91 Y.upf
In 114.82 In.upf
Rb 85.47 Rb.upf
ATOMIC_POSITIONS angstrom
Y -2.1371 2.0943 3.8917
In 1.3646 1.3336 2.0958
In -1.8921 2.1074 -0.1090
In -1.6096 -1.3466 1.9049
Rb 0.0000 0.0000 0.0000
CELL_PARAMETERS angstrom
-3.7842 4.2148 -0.2180
-3.2192 -2.6933 3.8098
2.7292 2.6672 4.1916
! space-group type: Pm-3m
! energy of formation: 0.9871 eV per atom

---

! Hf3MnTl | Alexandria via LeMat-Bulk | GGA-PBEsol | relaxed; values from VASP
&SYSTEM
  ibrav = 0, nat = 5, ntyp = 3
/
ATOMIC_SPECIES
Hf 178.49 Hf.upf
Mn 54.94 Mn.upf
Tl 204.38 Tl.upf
ATOMIC_POSITIONS angstrom
Hf 2.5952 0.0000 0.0000
Hf 0.0000 2.5952 0.0000
Hf 0.0000 0.0000 2.5952
Mn 2.5952 2.5952 2.5952
Tl 0.0000 0.0000 0.0000
CELL_PARAMETERS angstrom
5.1905 0.0000 0.0000
0.0000 5.1905 0.0000
0.0000 0.0000 5.1905
! space-group type: Pm-3m
! energy of formation: 1.6776 eV per atom

---

! Nb2CuCS2 | Alexandria via LeMat-Bulk | GGA-PBEsol | relaxed; values from VASP
&SYSTEM
  ibrav = 0, nat = 6, ntyp = 4
/
ATOMIC_SPECIES
Nb 92.91 Nb.upf
C 12.01 C.upf
Cu 63.55 Cu.upf
S 32.06 S.upf
ATOMIC_POSITIONS angstrom
Nb 1.6645 0.9610 1.1669
Nb 0.0000 0.0000 7.9084
C 0.0000 1.9219 0.0232
Cu 0.0000 0.0000 4.9547
S 0.0000 0.0000 2.7893
S 1.6645 0.9610 6.1742
CELL_PARAMETERS angstrom
3.3289 0.0000 0.0000
-1.6645 2.8829 0.0000
0.0000 0.0000 8.9909
! space-group type: P3m1
! formation energy from raw total energies: -0.76 eV per atom

---

! ScCoSi2 | Alexandria via LeMat-Bulk | GGA-PBEsol | relaxed; values from VASP
&SYSTEM
  ibrav = 0, nat = 4, ntyp = 3
/
ATOMIC_SPECIES
Si 28.09 Si.upf
Sc 44.96 Sc.upf
Co 58.93 Co.upf
ATOMIC_POSITIONS angstrom
Si 1.8700 -1.4279 1.3429
Si 0.0000 0.0000 0.0000
Sc 1.9486 -1.3843 -1.2751
Co -0.1286 -2.6160 -0.0474
CELL_PARAMETERS angstrom
-0.2072 -2.6596 2.5706
-0.0501 -2.5724 -2.6655
4.0758 2.4198 0.1626
! space-group type: I-4m2
! formation energy from raw total energies: -0.41 eV per atom

---

! AlCr2 | Alexandria via LeMat-Bulk | GGA-PBEsol | relaxed; values from VASP
&SYSTEM
  ibrav = 0, nat = 3, ntyp = 2
/
ATOMIC_SPECIES
Al 26.98 Al.upf
Cr 52.00 Cr.upf
ATOMIC_POSITIONS angstrom
Al 0.0000 0.0000 0.0000
Cr -1.1621 -3.4134 -4.6744
Cr -0.5680 -1.8298 -1.7361
CELL_PARAMETERS angstrom
-0.0201 0.6155 -2.3728
1.3005 -3.4523 -2.1728
-3.0105 -2.4063 -1.8649
! space-group type: Immm
! energy of formation: 0.2910 eV per atom

---

! CoRe2Au | Alexandria via LeMat-Bulk | GGA-PBEsol | relaxed; values from VASP
&SYSTEM
  ibrav = 0, nat = 4, ntyp = 3
/
ATOMIC_SPECIES
Au 196.97 Au.upf
Co 58.93 Co.upf
Re 186.21 Re.upf
ATOMIC_POSITIONS angstrom
Au -1.5093 -0.8012 0.7340
Co -0.3931 -0.7692 -1.6478
Re 1.0963 -1.6144 0.4921
Re -0.8064 -3.1844 -0.4218
CELL_PARAMETERS angstrom
-3.0186 -1.6023 1.4680
-0.7861 -1.5385 -3.2957
4.0947 -1.6580 1.8979
! space-group type: I4/mmm
! energy of formation: 0.3694 eV per atom
! energy above the most stable polymorph in this dataset: 0 meV per atom

---

! Nd3Sb4Pt7 | Alexandria via LeMat-Bulk | GGA-PBEsol | relaxed; values from VASP
&SYSTEM
  ibrav = 0, nat = 14, ntyp = 3
/
ATOMIC_SPECIES
Pt 195.08 Pt.upf
Sb 121.76 Sb.upf
Nd 144.24 Nd.upf
ATOMIC_POSITIONS angstrom
Pt -3.4651 1.3101 3.2356
Pt -7.0419 -2.9169 5.4580
Pt -10.3839 -4.0650 3.0254
Pt -9.1207 0.3979 2.3512
Pt -6.9245 -1.3775 3.1305
Pt -4.7283 -3.1528 3.9098
Pt -6.8071 0.1620 0.8030
Sb -4.6077 1.8080 0.9706
Sb -9.2413 -4.5629 5.2904
Sb -4.6298 -0.6323 4.8703
Sb -9.2192 -2.1226 1.3907
Nd -4.2109 -1.3354 1.6473
Nd -1.1976 1.5050 0.9350
Nd -9.6381 -1.4195 4.6137
CELL_PARAMETERS angstrom
-2.3952 3.0099 1.8700
-7.9708 -1.8432 -2.3513
-3.4831 -3.9216 6.7423
! space-group type: C2/m
! formation energy from raw total energies: -0.89 eV per atom

---

! CaMnV4Cu2O12 | Alexandria via LeMat-Bulk | GGA-PBEsol | relaxed; values from VASP
&SYSTEM
  ibrav = 0, nat = 20, ntyp = 5
/
ATOMIC_SPECIES
V 50.94 V.upf
O 16.00 O.upf
Ca 40.08 Ca.upf
Cu 63.55 Cu.upf
Mn 54.94 Mn.upf
ATOMIC_POSITIONS angstrom
V 2.8480 0.2813 1.2991
V 2.1608 -4.2141 3.6805
V -0.6933 -3.0388 -0.4034
V 0.0062 -1.4566 2.7849
O 1.4552 -2.4530 3.5158
O 4.5077 -2.3059 5.9242
O 4.0778 -6.1001 6.2593
O 0.2437 -2.3281 1.1018
O 2.3881 -3.9375 5.5569
O 3.9511 -3.5649 3.3871
O 0.5801 -7.3734 5.0407
O 0.3705 -4.8633 3.9739
O 2.8664 -5.9752 3.8452
O -0.1861 -6.1222 1.4369
O 3.7415 -1.0547 2.3204
O 1.9335 -4.4907 1.8042
Ca 0.0000 0.0000 0.0000
Cu 2.1546 -2.7575 0.8956
Cu 2.8541 -1.1753 4.0840
Mn -0.6872 -4.4954 2.3815
CELL_PARAMETERS angstrom
-1.3867 -6.0775 -0.8069
5.6959 0.5626 2.5981
0.0124 -2.9132 5.5698
! space-group type: Immm
! formation energy from raw total energies: -2.08 eV per atom

---

! BaNa3Mn | Alexandria via LeMat-Bulk | GGA-PBEsol | relaxed; values from VASP
&SYSTEM
  ibrav = 0, nat = 5, ntyp = 3
/
ATOMIC_SPECIES
Ba 137.33 Ba.upf
Mn 54.94 Mn.upf
Na 22.99 Na.upf
ATOMIC_POSITIONS angstrom
Ba 2.8996 2.8996 2.8996
Mn 0.0000 0.0000 0.0000
Na 2.8996 0.0000 0.0000
Na 0.0000 2.8996 0.0000
Na 0.0000 0.0000 2.8996
CELL_PARAMETERS angstrom
5.7993 0.0000 0.0000
0.0000 5.7993 0.0000
0.0000 0.0000 5.7993
! space-group type: Pm-3m
! energy of formation: 0.6336 eV per atom

---

! ScRe2Au | Alexandria via LeMat-Bulk | GGA-PBEsol | relaxed; values from VASP
&SYSTEM
  ibrav = 0, nat = 4, ntyp = 3
/
ATOMIC_SPECIES
Au 196.97 Au.upf
Re 186.21 Re.upf
Sc 44.96 Sc.upf
ATOMIC_POSITIONS angstrom
Au 1.3435 1.3435 4.4525
Re 0.0000 0.0000 2.2673
Re 0.0000 0.0000 6.6378
Sc 1.3435 1.3435 0.0000
CELL_PARAMETERS angstrom
2.6870 0.0000 0.0000
0.0000 2.6870 0.0000
0.0000 0.0000 8.9051
! space-group type: P4/mmm
! energy of formation: 0.3181 eV per atom
! energy above the most stable polymorph in this dataset: 244 meV per atom

---

! Tl3ZnCd | Alexandria via LeMat-Bulk | GGA-PBEsol | relaxed; values from VASP
&SYSTEM
  ibrav = 0, nat = 5, ntyp = 3
/
ATOMIC_SPECIES
Cd 112.41 Cd.upf
Tl 204.38 Tl.upf
Zn 65.41 Zn.upf
ATOMIC_POSITIONS angstrom
Cd 0.0000 0.0000 0.0000
Tl -2.3721 -0.9396 1.0442
Tl -0.8764 2.5915 0.3411
Tl -1.0979 -0.0384 -2.5285
Zn -4.3463 1.6134 -1.1431
CELL_PARAMETERS angstrom
-1.7528 5.1829 0.6823
-2.1958 -0.0769 -5.0570
-4.7442 -1.8793 2.0885
! space-group type: Pm-3m
! energy of formation: 0.5171 eV per atom

---

! SrFeBTe2 | Alexandria via LeMat-Bulk | GGA-PBEsol | relaxed; values from VASP
&SYSTEM
  ibrav = 0, nat = 5, ntyp = 4
/
ATOMIC_SPECIES
Fe 55.84 Fe.upf
Sr 87.62 Sr.upf
B 10.81 B.upf
Te 127.60 Te.upf
ATOMIC_POSITIONS angstrom
Fe 0.0000 0.0000 0.0000
Sr 3.0311 -2.9648 0.3660
B -0.5791 -1.8273 0.3294
Te 1.8842 -0.2576 1.8835
Te 1.7260 -0.8799 -1.8469
CELL_PARAMETERS angstrom
-1.1582 -3.6546 0.6588
3.4519 -1.7599 -3.6938
3.7684 -0.5152 3.7671
! space-group type: P4/mmm
! formation energy from raw total energies: -0.11 eV per atom

---

! MgBe2FeIr | Alexandria via LeMat-Bulk | GGA-PBEsol | relaxed; values from VASP
&SYSTEM
  ibrav = 0, nat = 5, ntyp = 4
/
ATOMIC_SPECIES
Mg 24.30 Mg.upf
Fe 55.84 Fe.upf
Be 9.01 Be.upf
Ir 192.22 Ir.upf
ATOMIC_POSITIONS angstrom
Mg -0.2337 -0.1402 3.7703
Fe 0.0672 1.7736 1.5116
Be 1.3292 -1.0869 1.2162
Be -1.6300 -0.8268 1.0425
Ir 0.0000 0.0000 0.0000
CELL_PARAMETERS angstrom
-3.2600 -1.6536 2.0850
2.6584 -2.1739 2.4324
0.1343 3.5471 3.0233
! space-group type: P4/mmm
! energy of formation: 0.5365 eV per atom

---

! Tc2OsCl | Alexandria via LeMat-Bulk | GGA-PBEsol | relaxed; values from VASP
&SYSTEM
  ibrav = 0, nat = 4, ntyp = 3
/
ATOMIC_SPECIES
Tc 98.00 Tc.upf
Os 190.23 Os.upf
Cl 35.45 Cl.upf
ATOMIC_POSITIONS angstrom
Tc -0.8271 1.7977 0.9764
Tc -2.4350 5.2924 2.8746
Os -0.9663 -0.7787 0.6151
Cl -2.5973 2.7663 2.5406
CELL_PARAMETERS angstrom
-1.9325 -1.5574 1.2303
2.4354 0.4364 1.2594
-3.2621 7.0901 3.8510
! space-group type: Cmmm
! formation energy from raw total energies: 0.64 eV per atom
! energy above the most stable polymorph in this dataset: 90 meV per atom

---

! Tl3Re2 | Alexandria via LeMat-Bulk | GGA-PBEsol | relaxed; values from VASP
&SYSTEM
  ibrav = 0, nat = 5, ntyp = 2
/
ATOMIC_SPECIES
Tl 204.38 Tl.upf
Re 186.21 Re.upf
ATOMIC_POSITIONS angstrom
Tl 0.0000 2.7362 5.1322
Tl 2.3696 1.3681 0.4437
Tl 0.0000 0.0000 2.7880
Re 2.3696 1.3681 3.1608
Re 0.0000 2.7362 2.4151
CELL_PARAMETERS angstrom
4.7392 0.0000 0.0000
-2.3696 4.1042 0.0000
0.0000 0.0000 5.5759
! space-group type: P-3m1
! energy of formation: 0.9224 eV per atom

---

! CuAs4S3Cl | Alexandria via LeMat-Bulk | GGA-PBEsol | relaxed; values from VASP
&SYSTEM
  ibrav = 0, nat = 36, ntyp = 4
/
ATOMIC_SPECIES
As 74.92 As.upf
S 32.06 S.upf
Cu 63.55 Cu.upf
Cl 35.45 Cl.upf
ATOMIC_POSITIONS angstrom
As 1.7868 2.6903 8.4977
As 1.7868 8.0179 3.0407
As 3.0335 3.9130 10.2883
As 6.6072 3.9130 6.0826
As 5.3605 9.9967 10.2793
As 4.1138 6.7952 0.6256
As 5.3605 0.7115 4.8223
As 0.5401 3.9130 10.2883
As 4.1138 3.9130 6.0826
As 0.5401 6.7952 4.8313
As 1.7868 0.7115 0.6346
As 6.6072 6.7952 0.6256
As 5.3605 8.0179 2.4163
As 1.7868 9.9967 6.0916
As 5.3605 2.6903 7.8732
As 3.0335 6.7952 4.8313
S 1.7868 10.1168 3.8441
S 5.3605 10.1168 1.6128
S 3.5171 8.4988 6.2462
S 0.0565 2.2093 0.7893
S 3.6302 8.4988 10.1247
S 1.7868 0.5914 9.3011
S 0.0565 8.4988 6.2462
S 7.0908 2.2093 4.6677
S 3.6302 2.2093 4.6677
S 7.0908 8.4988 10.1247
S 3.5171 2.2093 0.7893
S 5.3605 0.5914 7.0698
Cu 0.0000 3.2802 2.7285
Cu 0.0000 7.4280 8.1855
Cu 3.5736 7.4280 8.1855
Cu 3.5736 3.2802 2.7285
Cl 1.7868 4.7957 2.8685
Cl 5.3605 4.7957 2.5884
Cl 1.7868 5.9124 8.3255
Cl 5.3605 5.9124 8.0454
CELL_PARAMETERS angstrom
7.1473 0.0000 0.0000
0.0000 10.7082 0.0000
0.0000 0.0000 10.9139
! space-group type: Pbcm
! formation energy from raw total energies: -0.20 eV per atom

---

! Cd2WF | Alexandria via LeMat-Bulk | GGA-PBEsol | relaxed; values from VASP
&SYSTEM
  ibrav = 0, nat = 4, ntyp = 3
/
ATOMIC_SPECIES
W 183.84 W.upf
Cd 112.41 Cd.upf
F 19.00 F.upf
ATOMIC_POSITIONS angstrom
W 4.6824 2.7034 1.9116
Cd 2.3412 1.3517 0.9558
Cd 7.0236 4.0551 2.8674
F 0.0000 0.0000 0.0000
CELL_PARAMETERS angstrom
4.6824 0.0000 0.0000
2.3412 4.0551 0.0000
2.3412 1.3517 3.8231
! space-group type: Fm-3m
! formation energy from raw total energies: 0.73 eV per atom

---

! Al5SiNi2 | Alexandria via LeMat-Bulk | GGA-PBEsol | relaxed; values from VASP
&SYSTEM
  ibrav = 0, nat = 8, ntyp = 3
/
ATOMIC_SPECIES
Ni 58.69 Ni.upf
Al 26.98 Al.upf
Si 28.09 Si.upf
ATOMIC_POSITIONS angstrom
Ni -3.9395 -2.3217 -0.3927
Ni -3.4218 -0.3563 1.4125
Al -2.7010 -0.2604 -0.9636
Al -4.6604 -2.4177 1.9834
Al -5.5798 -0.5602 0.2247
Al -0.5370 -1.9674 -1.7972
Al -1.7815 -2.1179 0.7951
Si 0.0000 0.0000 0.0000
CELL_PARAMETERS angstrom
-1.4564 -0.1099 -3.5559
0.3825 -3.8249 -0.0384
-6.2874 1.2567 4.6142
! space-group type: I4/mmm
! formation energy from raw total energies: -0.28 eV per atom

---

! MgAl2ReH | Alexandria via LeMat-Bulk | GGA-PBEsol | relaxed; values from VASP
&SYSTEM
  ibrav = 0, nat = 5, ntyp = 4
/
ATOMIC_SPECIES
Mg 24.30 Mg.upf
Al 26.98 Al.upf
Re 186.21 Re.upf
H 1.01 H.upf
ATOMIC_POSITIONS angstrom
Mg -0.0289 1.8115 3.3959
Al 1.6738 1.4413 0.9453
Al -0.4507 -0.9058 2.1792
Re 0.0000 0.0000 0.0000
H -1.2520 1.2760 0.2714
CELL_PARAMETERS angstrom
-2.5040 2.5520 0.5429
-0.9014 -1.8116 4.3584
3.3476 2.8826 1.8905
! space-group type: P4/mmm
! raw total energy: -4.778 eV per atom